Density functional theory data (PBE) for a relaxed UFe2Ge2 crystal.

a = 5.5592 Å, b = 5.5592 Å, c = 5.5592 Å
α = 137.55°, β = 137.55°, γ = 61.60°
Element x y z (fractional)
U1 0.0000 0.0000 0.0000
Fe1 0.2500 0.7500 0.5000
Fe2 0.7500 0.2500 0.5000
Ge1 0.3706 0.3706 0.0000
Ge2 0.6294 0.6294 0.0000

Computed properties:
total energy	-7.669	eV/atom